The following is a PBE-GGA calculation of an optimized crystal structure of Tb6SiSb2, from Alexandria via LeMat-Bulk.

Its formation energy (no corrections) is -0.36 eV/atom.

The structure in POSCAR format:
```
Tb6SiSb2
1.0
6.920 0.000 0.000
0.000 6.920 0.000
0.000 0.000 13.097
Tb Si Sb
12 2 4
direct
0.196 0.196 0.155 Tb
0.196 0.196 0.845 Tb
0.215 0.215 0.500 Tb
0.285 0.715 0.000 Tb
0.304 0.696 0.345 Tb
0.304 0.696 0.655 Tb
0.696 0.304 0.345 Tb
0.696 0.304 0.655 Tb
0.715 0.285 0.000 Tb
0.785 0.785 0.500 Tb
0.804 0.804 0.155 Tb
0.804 0.804 0.845 Tb
0.000 0.000 0.000 Si
0.500 0.500 0.500 Si
0.000 0.000 0.333 Sb
0.000 0.000 0.667 Sb
0.500 0.500 0.167 Sb
0.500 0.500 0.833 Sb
```